# 1
An optimized crystal structure of BaSr2IO6. Source: Alexandria, functional PBE-GGA.

Computed properties:
The value obtained for the uncorrected formation energy is -1.866 eV/atom. The value obtained for the total energy is -55.2 eV/cell. Its symmetry is R3.

Cell lengths 6.2028, 6.2028, 6.3821 Å; angles 60.92, 60.92, 60.00 degrees
Element x y z (fractional)
Ba (0.8047, 0.8047, 0.5860)
Sr (0.5383, 0.5383, 0.3851)
Sr (0.0275, 0.0275, 0.9175)
I (0.3221, 0.3221, 0.0336)
O (0.5640, 0.2150, 0.2339)
O (0.2150, 0.9871, 0.2339)
O (0.9871, 0.5641, 0.2339)
O (0.4113, 0.6468, 0.7971)
O (0.6468, 0.1448, 0.7971)
O (0.1448, 0.4113, 0.7971)


# 2
An optimized crystal structure of BaSrIO2. Source: Alexandria, functional PBE-GGA.

Computed properties:
The value obtained for the uncorrected formation energy is -1.456 eV/atom. The value obtained for the total energy is -22.4 eV/cell. Its symmetry is P4/mmm.

Cell lengths 4.8857, 4.8857, 6.1303 Å; angles 90.00, 90.00, 90.00 degrees
Element x y z (fractional)
I (0.0000, 0.0000, 0.5000)
Sr (0.0000, 0.0000, 0.0000)
Ba (0.5000, 0.5000, 0.5000)
O (0.0000, 0.5000, 0.0000)
O (0.5000, 0.0000, 0.0000)


# 3
An optimized crystal structure of BaTaIO2. Source: Alexandria, functional PBE-GGA.

Computed properties:
The value obtained for the uncorrected formation energy is -1.371 eV/atom. The value obtained for the total energy is -32.1 eV/cell. Its symmetry is P4/mmm.

Cell lengths 4.3200, 4.3200, 5.6604 Å; angles 90.00, 90.00, 90.00 degrees
Element x y z (fractional)
I (0.0000, 0.0000, 0.5000)
Ba (0.5000, 0.5000, 0.5000)
O (0.0000, 0.5000, 0.0000)
O (0.5000, 0.0000, 0.0000)
Ta (0.0000, 0.0000, 0.0000)


# 4
An optimized crystal structure of BaTaIO2. Source: Alexandria, functional PBE-GGA.

Computed properties:
The value obtained for the uncorrected formation energy is 0.470 eV/atom. The value obtained for the total energy is -22.9 eV/cell. Its symmetry is P4/mmm.

Cell lengths 4.4906, 4.4906, 7.1513 Å; angles 90.00, 90.00, 90.00 degrees
Element x y z (fractional)
I (0.0000, 0.0000, 0.5000)
Ba (0.0000, 0.0000, 0.0000)
O (0.0000, 0.5000, 0.0000)
O (0.5000, 0.0000, 0.0000)
Ta (0.5000, 0.5000, 0.5000)


# 5
An optimized crystal structure of BaTaIO6. Source: Alexandria, functional PBE-GGA.

Computed properties:
The value obtained for the uncorrected formation energy is -1.949 eV/atom. The value obtained for the total energy is -62.6 eV/cell. Its symmetry is P1.

Cell lengths 5.6144, 5.6021, 5.7324 Å; angles 89.96, 89.90, 59.87 degrees
Element x y z (fractional)
Ba (0.9989, 0.0007, 0.9866)
Ta (0.6663, 0.6662, 0.4576)
I (0.3326, 0.3336, 0.5271)
O (0.9628, 0.3645, 0.3057)
O (0.4143, 0.0090, 0.7051)
O (0.5744, 0.4166, 0.7052)
O (0.0082, 0.5760, 0.7061)
O (0.3687, 0.6725, 0.3014)
O (0.6735, 0.9610, 0.3052)


# 6
An optimized crystal structure of Ba2TbI2O2. Source: Alexandria, functional PBE-GGA.

Computed properties:
The value obtained for the uncorrected formation energy is -2.211 eV/atom. The value obtained for the total energy is -37.0 eV/cell. Its symmetry is I4/mmm.

Cell lengths 4.6032, 4.6032, 9.8529 Å; angles 103.51, 103.51, 90.00 degrees
Element x y z (fractional)
Ba (0.4023, 0.4023, 0.8046)
Ba (0.5977, 0.5977, 0.1954)
Tb (0.0000, 0.0000, 0.0000)
I (0.1799, 0.1799, 0.3598)
I (0.8201, 0.8201, 0.6402)
O (0.0000, 0.5000, 0.0000)
O (0.5000, 0.0000, 0.0000)


# 7
An optimized crystal structure of BaTbIO6. Source: Alexandria, functional PBE-GGA.

Computed properties:
The value obtained for the uncorrected formation energy is -1.894 eV/atom. The value obtained for the total energy is -54.9 eV/cell. Its symmetry is P312.

Cell lengths 5.7019, 5.7019, 5.5970 Å; angles 90.00, 90.00, 60.00 degrees
Element x y z (fractional)
Ba (0.0000, 0.0000, 0.0000)
Tb (0.6666, 0.6667, 0.5000)
I (0.3333, 0.3333, 0.5000)
O (0.0486, 0.3535, 0.3043)
O (0.3534, 0.0486, 0.6956)
O (0.5978, 0.3536, 0.6956)
O (0.0485, 0.5980, 0.6956)
O (0.3535, 0.5979, 0.3043)
O (0.5980, 0.0485, 0.3044)


# 8
An optimized crystal structure of BaTcIO2. Source: Alexandria, functional PBE-GGA.

Computed properties:
The value obtained for the uncorrected formation energy is -0.804 eV/atom. The value obtained for the total energy is -27.8 eV/cell. Its symmetry is P4/mmm.

Cell lengths 4.3642, 4.3642, 5.3382 Å; angles 90.00, 90.00, 90.00 degrees
Element x y z (fractional)
I (0.0000, 0.0000, 0.5000)
Ba (0.5000, 0.5000, 0.5000)
O (0.0000, 0.5000, 0.0000)
O (0.5000, 0.0000, 0.0000)
Tc (0.0000, 0.0000, 0.0000)


# 9
An optimized crystal structure of BaTcIO2. Source: Alexandria, functional PBE-GGA.

Computed properties:
The value obtained for the uncorrected formation energy is 0.278 eV/atom. The value obtained for the total energy is -22.4 eV/cell. Its symmetry is P4/mmm.

Cell lengths 4.5085, 4.5085, 7.1121 Å; angles 90.00, 90.00, 90.00 degrees
Element x y z (fractional)
I (0.0000, 0.0000, 0.5000)
Ba (0.0000, 0.0000, 0.0000)
O (0.0000, 0.5000, 0.0000)
O (0.5000, 0.0000, 0.0000)
Tc (0.5000, 0.5000, 0.5000)


# 10
An optimized crystal structure of BaTcIO6. Source: Alexandria, functional PBE-GGA.

Computed properties:
The value obtained for the uncorrected formation energy is -1.461 eV/atom. The value obtained for the total energy is -56.7 eV/cell. Its symmetry is P1.

Cell lengths 7.7186, 7.8822, 5.1768 Å; angles 78.83, 74.74, 38.95 degrees
Element x y z (fractional)
Ba (0.8536, 0.0955, 0.0065)
Tc (0.5794, 0.7596, 0.3648)
I (0.2964, 0.4091, 0.6668)
O (0.8260, 0.5658, 0.5694)
O (0.2489, 0.9538, 0.5610)
O (0.6899, 0.1445, 0.5490)
O (0.2669, 0.5517, 0.9542)
O (0.6627, 0.5491, 0.1527)
O (0.5759, 0.9710, 0.1756)


# 11
An optimized crystal structure of BaTc2IO8. Source: Alexandria, functional PBE-GGA.

Computed properties:
The value obtained for the uncorrected formation energy is -1.529 eV/atom. The value obtained for the total energy is -82.2 eV/cell. Its symmetry is P-1.

Cell lengths 5.0104, 6.4895, 8.8625 Å; angles 86.55, 81.23, 72.94 degrees
Element x y z (fractional)
Ba (0.0000, 0.0000, 0.5000)
Tc (0.3864, 0.3796, 0.7253)
Tc (0.6136, 0.6204, 0.2747)
I (0.0000, 0.0000, 0.0000)
O (0.2576, 0.6367, 0.2906)
O (0.7393, 0.6709, 0.0879)
O (0.8039, 0.3674, 0.3376)
O (0.7424, 0.3633, 0.7094)
O (0.2607, 0.3291, 0.9121)
O (0.1961, 0.6326, 0.6624)
O (0.6226, 0.8286, 0.3914)
O (0.3774, 0.1714, 0.6086)


# 12
An optimized crystal structure of BaTeI2O. Source: Alexandria, functional PBE-GGA.

Computed properties:
The value obtained for the uncorrected formation energy is -0.379 eV/atom. The value obtained for the total energy is -15.0 eV/cell. Its symmetry is P4/mmm.

Cell lengths 6.9100, 6.9100, 4.5245 Å; angles 90.00, 90.00, 90.00 degrees
Element x y z (fractional)
I (0.0000, 0.5000, 0.0000)
I (0.5000, 0.0000, 0.0000)
Te (0.5000, 0.5000, 0.5000)
Ba (0.0000, 0.0000, 0.0000)
O (0.0000, 0.0000, 0.5000)


# 13
An optimized crystal structure of BaTeI2O. Source: Alexandria, functional PBE-GGA.

Computed properties:
The value obtained for the uncorrected formation energy is -0.669 eV/atom. The value obtained for the total energy is -16.5 eV/cell. Its symmetry is P4/mmm.

Cell lengths 5.4314, 5.4314, 4.9244 Å; angles 90.00, 90.00, 90.00 degrees
Element x y z (fractional)
I (0.0000, 0.5000, 0.0000)
I (0.5000, 0.0000, 0.0000)
Te (0.0000, 0.0000, 0.5000)
Ba (0.5000, 0.5000, 0.5000)
O (0.0000, 0.0000, 0.0000)